LaGa6Cu6 after structural relaxation. Source: Alexandria, functional PBE.

Summary:
* total magnetization: 0.000 μB per atom
* E: -51.358 eV per cell
* DOS at the Fermi energy: 2.77 states/eV/cell

Cell: 5.174 6.733 6.733 Å, 80.72 67.40 67.40°
Atoms (fractional coordinates):
Cu (0.000, 0.000, 0.500)
Cu (0.000, 0.500, 0.000)
Cu (0.500, 0.765, 0.235)
Cu (0.500, 0.000, 0.500)
Cu (0.500, 0.500, 0.000)
Cu (0.500, 0.235, 0.765)
Ga (0.296, 0.204, 0.204)
Ga (0.704, 0.796, 0.796)
Ga (0.000, 0.651, 0.349)
Ga (0.000, 0.349, 0.651)
Ga (0.649, 0.351, 0.351)
Ga (0.351, 0.649, 0.649)
La (0.000, 0.000, 0.000)


La3Ga2Cu after structural relaxation. Source: Alexandria, functional PBE.

Summary:
* total magnetization: 0.000 μB per atom
* E: -110.364 eV per cell
* DOS at the Fermi energy: 20.97 states/eV/cell

Cell: 4.526 11.775 12.180 Å, 90.00 90.00 90.00°
Atoms (fractional coordinates):
La (0.750, 0.195, 0.277)
La (0.250, 0.695, 0.223)
La (0.750, 0.940, 0.127)
La (0.250, 0.374, 0.049)
La (0.750, 0.560, 0.627)
La (0.750, 0.626, 0.951)
La (0.250, 0.126, 0.549)
La (0.750, 0.305, 0.777)
La (0.250, 0.805, 0.723)
La (0.250, 0.060, 0.873)
La (0.750, 0.874, 0.451)
La (0.250, 0.440, 0.373)
Ga (0.750, 0.000, 0.694)
Ga (0.750, 0.314, 0.517)
Ga (0.250, 0.686, 0.483)
Ga (0.250, 0.500, 0.806)
Ga (0.250, 0.814, 0.983)
Ga (0.750, 0.500, 0.194)
Ga (0.250, 0.000, 0.306)
Ga (0.750, 0.186, 0.017)
Cu (0.250, 0.376, 0.621)
Cu (0.250, 0.124, 0.121)
Cu (0.750, 0.624, 0.379)
Cu (0.750, 0.876, 0.879)


La2Ga5Cu3 after structural relaxation. Source: Alexandria, functional PBE.

Summary:
* total magnetization: 0.000 μB per atom
* E above lowest polymorph: 0.063 eV/atom
* DOS at the Fermi energy: 3.43 states/eV/cell

Cell: 4.369 4.369 10.134 Å, 90.00 90.00 90.00°
Atoms (fractional coordinates):
Cu (0.500, 0.000, 0.612)
Cu (0.000, 0.500, 0.388)
Cu (0.000, 0.000, 0.500)
La (0.500, 0.000, 0.265)
La (0.000, 0.500, 0.735)
Ga (0.500, 0.500, 0.500)
Ga (0.500, 0.000, 0.849)
Ga (0.500, 0.500, 0.000)
Ga (0.000, 0.500, 0.151)
Ga (0.000, 0.000, 0.000)


La3Ga4Cu4 after structural relaxation. Source: Alexandria, functional PBE.

Summary:
* total magnetization: 0.000 μB per atom
* E: -48.181 eV per cell
* DOS at the Fermi energy: 9.83 states/eV/cell

Cell: 4.217 4.357 12.938 Å, 80.56 80.62 89.92°
Atoms (fractional coordinates):
Cu (0.249, 0.255, 0.499)
Cu (0.400, 0.902, 0.199)
Cu (0.600, 0.098, 0.801)
Cu (0.751, 0.745, 0.501)
La (0.848, 0.347, 0.305)
La (0.000, 0.000, 0.000)
La (0.152, 0.653, 0.695)
Ga (0.447, 0.449, 0.103)
Ga (0.698, 0.197, 0.602)
Ga (0.553, 0.551, 0.897)
Ga (0.302, 0.803, 0.398)


La2GaCu5 after structural relaxation. Source: Alexandria, functional PBE.

Summary:
* total magnetization: 0.000 μB per atom
* E: -70.598 eV per cell
* DOS at the Fermi energy: 11.81 states/eV/cell

Cell: 4.321 8.178 8.948 Å, 90.00 90.00 105.32°
Atoms (fractional coordinates):
Ga (0.561, 0.122, 0.250)
Ga (0.439, 0.878, 0.750)
Cu (0.823, 0.646, 0.387)
Cu (0.654, 0.309, 0.018)
Cu (0.823, 0.646, 0.113)
Cu (0.346, 0.691, 0.518)
Cu (0.654, 0.309, 0.482)
Cu (0.177, 0.354, 0.887)
Cu (0.177, 0.354, 0.613)
Cu (0.402, 0.804, 0.250)
Cu (0.346, 0.691, 0.982)
Cu (0.598, 0.196, 0.750)
La (0.789, 0.578, 0.750)
La (0.000, 0.000, 0.500)
La (0.211, 0.422, 0.250)
La (0.000, 0.000, 0.000)


La6Ga5Cu after structural relaxation. Source: Alexandria, functional PBE.

Summary:
* total magnetization: 0.000 μB per atom
* E: -54.621 eV per cell
* DOS at the Fermi energy: 12.98 states/eV/cell

Cell: 5.309 7.545 8.397 Å, 90.00 71.57 90.00°
Atoms (fractional coordinates):
Cu (0.000, 0.000, 0.000)
Ga (0.333, 0.500, 0.334)
Ga (0.000, 0.500, 0.000)
Ga (0.334, 0.000, 0.332)
Ga (0.666, 0.000, 0.668)
Ga (0.667, 0.500, 0.666)
La (0.835, 0.752, 0.330)
La (0.165, 0.248, 0.670)
La (0.835, 0.248, 0.330)
La (0.500, 0.754, 0.000)
La (0.500, 0.246, 0.000)
La (0.165, 0.752, 0.670)


La3Ga5Cu6 after structural relaxation. Source: Alexandria, functional PBE.

Summary:
* total magnetization: 0.000 μB per atom
* E: -60.124 eV per cell
* DOS at the Fermi energy: 7.00 states/eV/cell

Cell: 4.439 8.226 8.226 Å, 65.36 74.35 74.35°
Atoms (fractional coordinates):
Cu (0.500, 0.304, 0.696)
Cu (0.870, 0.849, 0.411)
Cu (0.870, 0.411, 0.849)
Cu (0.500, 0.696, 0.304)
Cu (0.130, 0.589, 0.151)
Cu (0.130, 0.151, 0.589)
La (0.000, 0.000, 0.000)
La (0.695, 0.305, 0.305)
La (0.305, 0.695, 0.695)
Ga (0.662, 0.986, 0.690)
Ga (0.338, 0.310, 0.014)
Ga (0.662, 0.690, 0.986)
Ga (0.000, 0.500, 0.500)
Ga (0.338, 0.014, 0.310)


La5Ga2Cu2 after structural relaxation. Source: Alexandria, functional PBE.

Summary:
* total magnetization: 0.000 μB per atom
* E: -82.593 eV per cell
* DOS at the Fermi energy: 18.00 states/eV/cell

Cell: 8.654 7.312 8.792 Å, 114.57 90.00 90.00°
Atoms (fractional coordinates):
La (0.177, 0.478, 0.278)
La (0.177, 0.201, 0.722)
La (0.323, 0.701, 0.722)
La (0.677, 0.022, 0.722)
La (0.823, 0.799, 0.278)
La (0.500, 0.500, 0.000)
La (0.823, 0.522, 0.722)
La (0.000, 0.000, 0.000)
La (0.677, 0.299, 0.278)
La (0.323, 0.978, 0.278)
Cu (0.390, 0.115, 0.000)
Cu (0.610, 0.885, 0.000)
Cu (0.890, 0.385, 0.000)
Cu (0.110, 0.615, 0.000)
Ga (0.500, 0.705, 0.409)
Ga (0.000, 0.795, 0.591)
Ga (0.500, 0.295, 0.591)
Ga (0.000, 0.205, 0.409)


La2GaCu3 after structural relaxation. Source: Alexandria, functional PBE.

Summary:
* total magnetization: 0.000 μB per atom
* E above lowest polymorph: 0.007 eV/atom
* DOS at the Fermi energy: 4.74 states/eV/cell

Cell: 4.027 4.217 8.285 Å, 104.74 104.06 90.00°
Atoms (fractional coordinates):
Cu (0.704, 0.704, 0.407)
Cu (0.295, 0.795, 0.590)
Cu (0.542, 0.542, 0.084)
Ga (0.461, 0.961, 0.923)
La (0.871, 0.371, 0.742)
La (0.127, 0.127, 0.254)


La3GaCu2 after structural relaxation. Source: Alexandria, functional PBE.

Summary:
* total magnetization: 0.000 μB per atom
* E: -27.642 eV per cell
* DOS at the Fermi energy: 5.86 states/eV/cell

Cell: 3.718 5.226 8.231 Å, 108.51 90.00 90.00°
Atoms (fractional coordinates):
Ga (0.000, 0.000, 0.000)
La (0.500, 0.829, 0.659)
La (0.500, 0.171, 0.341)
La (0.500, 0.500, 0.000)
Cu (0.000, 0.659, 0.318)
Cu (0.000, 0.341, 0.682)


La2GaCu3 after structural relaxation. Source: Alexandria, functional PBE.

Summary:
* total magnetization: 0.000 μB per atom
* E above lowest polymorph: 0.000 eV/atom
* DOS at the Fermi energy: 9.65 states/eV/cell

Cell: 5.850 5.850 8.609 Å, 107.58 107.58 96.38°
Atoms (fractional coordinates):
La (0.750, 0.250, 0.500)
La (0.250, 0.750, 0.500)
La (0.760, 0.760, 0.000)
La (0.240, 0.240, 0.000)
Cu (0.168, 0.168, 0.336)
Cu (0.334, 0.831, 0.165)
Cu (0.169, 0.666, 0.835)
Cu (0.832, 0.832, 0.664)
Cu (0.831, 0.334, 0.165)
Cu (0.666, 0.169, 0.835)
Ga (0.335, 0.335, 0.670)
Ga (0.665, 0.665, 0.330)


LaGa8Cu4 after structural relaxation. Source: Alexandria, functional PBE.

Summary:
* total magnetization: 0.000 μB per atom
* E: -48.676 eV per cell
* DOS at the Fermi energy: 5.57 states/eV/cell

Cell: 5.317 6.869 6.869 Å, 81.38 67.23 67.23°
Atoms (fractional coordinates):
Ga (0.651, 0.349, 0.349)
Ga (0.500, 0.219, 0.781)
Ga (0.500, 0.781, 0.219)
Ga (0.719, 0.781, 0.781)
Ga (0.000, 0.349, 0.651)
Ga (0.281, 0.219, 0.219)
Ga (0.000, 0.651, 0.349)
Ga (0.349, 0.651, 0.651)
Cu (0.000, 0.500, 0.000)
Cu (0.500, 0.000, 0.500)
Cu (0.000, 0.000, 0.500)
Cu (0.500, 0.500, 0.000)
La (0.000, 0.000, 0.000)